CsBa2ReSb | GGA-PBE | relaxed

Unit cell a=6.2044 b=6.2044 c=5.3065 alpha=90.00 beta=90.00 gamma=90.00
Closest atoms and distances in Å follow each position.
Atoms (fractional coordinates):
Cs (0.0000, 0.0000, 0.0000)  8 Ba 4.08, 4 Sb 4.39
Ba (0.0000, 0.5000, 0.5000)  2 Re 3.10
Ba (0.5000, 0.0000, 0.5000)  2 Re 3.10
Re (0.5000, 0.5000, 0.5000)  2 Sb 2.65
Sb (0.5000, 0.5000, 0.0000)  2 Re 2.65

Summary:
Formation energy from raw total energies = 0.320 eV/atom
V = 204.27 Å³ per cell
Symmetry = P4/mmm, No. 123

=====

CuPPt2 | GGA-PBE | relaxed

Unit cell a=4.4803 b=4.4803 c=2.9005 alpha=90.35 beta=90.35 gamma=101.34
Closest atoms and distances in Å follow each position.
Atoms (fractional coordinates):
Cu (0.0000, 0.0000, 0.0000)  8 Pt 2.66-2.68, 2 P 2.84, 2 Cu 2.90
P (0.5000, 0.5000, 0.0000)  8 Pt 2.66-2.68, 2 Cu 2.84, 2 P 2.90
Pt (0.0000, 0.5000, 0.5000)  4 Cu 2.66-2.68, 4 P 2.66-2.68, 4 Pt 2.84-2.90
Pt (0.5000, 0.0000, 0.5000)  4 Cu 2.66-2.68, 4 P 2.66-2.68, 4 Pt 2.84-2.90

Summary:
Excess energy over the best structure of this formula in the dataset = 0.582 eV per formula unit
Formation energy from the elements = -38.9 meV/atom
V = 57.08 Å³ per cell
Symmetry = C2/m, No. 12

=====

Zr12Tl3Ag | GGA-PBE | relaxed

Unit cell a=5.1897 b=5.1897 c=13.4294 alpha=90.00 beta=90.00 gamma=90.00
Closest atoms and distances in Å follow each position.
Atoms (fractional coordinates):
Zr (0.0000, 0.0000, 0.0000)  10 Zr 3.05-3.31
Zr (0.0000, 0.0000, 0.2462)  10 Zr 3.10-3.41
Zr (0.0000, 0.0000, 0.5000)  10 Zr 3.08-3.41
Zr (0.0000, 0.0000, 0.7538)  10 Zr 3.10-3.41
Zr (0.0000, 0.5000, 0.1195)  5 Zr 3.05-3.21, 2 Ag 3.05, 2 Tl 3.08
Zr (0.0000, 0.5000, 0.3758)  6 Zr 3.08-3.44, 4 Tl 3.08-3.14
Zr (0.0000, 0.5000, 0.6242)  6 Zr 3.08-3.44, 4 Tl 3.08-3.14
Zr (0.0000, 0.5000, 0.8805)  5 Zr 3.05-3.21, 2 Ag 3.05, 2 Tl 3.08
Zr (0.5000, 0.0000, 0.1195)  5 Zr 3.05-3.21, 2 Ag 3.05, 2 Tl 3.08
Zr (0.5000, 0.0000, 0.3758)  6 Zr 3.08-3.44, 4 Tl 3.08-3.14
Zr (0.5000, 0.0000, 0.6242)  6 Zr 3.08-3.44, 4 Tl 3.08-3.14
Zr (0.5000, 0.0000, 0.8805)  5 Zr 3.05-3.21, 2 Ag 3.05, 2 Tl 3.08
Tl (0.5000, 0.5000, 0.2438)  8 Zr 3.08-3.14, 1 Ag 3.27, 1 Tl 3.44
Tl (0.5000, 0.5000, 0.5000)  8 Zr 3.08, 2 Tl 3.44
Tl (0.5000, 0.5000, 0.7562)  8 Zr 3.08-3.14, 1 Ag 3.27, 1 Tl 3.44
Ag (0.5000, 0.5000, 0.0000)  8 Zr 3.05, 2 Tl 3.27

Summary:
Formation energy from the elements = 17.1 meV/atom
V = 361.69 Å³ per cell
Symmetry = P4/mmm, No. 123

=====

ZrMo5W6 | GGA-PBE | relaxed

Unit cell a=7.8374 b=7.8374 c=7.8374 alpha=146.41 beta=131.83 gamma=60.00
Closest atoms and distances in Å follow each position.
Atoms (fractional coordinates):
Zr (0.0000, 0.0000, 0.0000)  8 W 2.80-2.81
Mo (0.1683, 0.6683, 0.5000)  8 W 2.71-2.81
Mo (0.3336, 0.3336, 0.0000)  8 W 2.74-2.76
Mo (0.5000, 0.0000, 0.5000)  8 W 2.75-2.79
Mo (0.6664, 0.6664, 0.0000)  8 W 2.74-2.76
Mo (0.8317, 0.3317, 0.5000)  8 W 2.71-2.81
W (0.0835, 0.8304, 0.2531)  7 Mo 2.71-2.79, 1 Zr 2.81
W (0.2570, 0.5000, 0.7570)  6 Mo 2.74-2.81, 2 Zr 2.80
W (0.4227, 0.1696, 0.2531)  7 Mo 2.71-2.79, 1 Zr 2.81
W (0.5773, 0.8304, 0.7469)  7 Mo 2.71-2.79, 1 Zr 2.81
W (0.7430, 0.5000, 0.2430)  6 Mo 2.74-2.81, 2 Zr 2.80
W (0.9165, 0.1696, 0.7469)  7 Mo 2.71-2.79, 1 Zr 2.81

Summary:
Formation energy from the elements = 4.9 meV/atom
V = 196.62 Å³ per cell
Symmetry = Immm, No. 71

=====

YGeIr3 | GGA-PBE | relaxed

Unit cell a=4.9879 b=4.9879 c=4.9879 alpha=90.00 beta=90.00 gamma=90.00
Closest atoms and distances in Å follow each position.
Atoms (fractional coordinates):
Y (0.0000, 0.0000, 0.0000)  6 Ir 2.49
Ge (0.5000, 0.5000, 0.5000)  12 Ir 3.53
Ir (0.0000, 0.0000, 0.5000)  2 Y 2.49
Ir (0.0000, 0.5000, 0.0000)  2 Y 2.49
Ir (0.5000, 0.0000, 0.0000)  2 Y 2.49

Summary:
Excess energy over the best structure of this formula in the dataset = 9.329 eV per formula unit
Formation energy from the elements = 1968.0 meV/atom
V = 124.09 Å³ per cell
Symmetry = Pm-3m, No. 221

=====

La4Zn | GGA-PBE | relaxed

Unit cell a=6.7156 b=6.7156 c=7.3236 alpha=90.00 beta=90.00 gamma=90.00
Closest atoms and distances in Å follow each position.
Atoms (fractional coordinates):
La (0.1249, 0.2717, 0.3479)  2 Zn 3.15-3.24, 1 La 3.50
La (0.2283, 0.3751, 0.8479)  2 Zn 3.15-3.24, 1 La 3.50
La (0.2717, 0.8751, 0.6521)  2 Zn 3.15-3.24, 1 La 3.50
La (0.3751, 0.7717, 0.1521)  2 Zn 3.15-3.24, 1 La 3.50
La (0.6249, 0.2283, 0.1521)  2 Zn 3.15-3.24, 1 La 3.50
La (0.7283, 0.1249, 0.6521)  2 Zn 3.15-3.24, 1 La 3.50
La (0.7717, 0.6249, 0.8479)  2 Zn 3.15-3.24, 1 La 3.50
La (0.8751, 0.7283, 0.3479)  2 Zn 3.15-3.24, 1 La 3.50
Zn (0.0000, 0.0000, 0.0000)  8 La 3.15-3.24
Zn (0.5000, 0.5000, 0.5000)  8 La 3.15-3.24

Summary:
Excess energy over the best structure of this formula in the dataset = 0.273 eV per formula unit
Formation energy from the elements = -68.2 meV/atom
V = 330.29 Å³ per cell
Symmetry = P-42_1c, No. 114